Density functional theory data (PBE) for an optimized crystal structure of Tl2AgOs.

Lattice parameters (Å, degrees): 3.027 5.144 5.520 90.00 103.55 90.00
Space group Pm (No. 6)
Symmetry-distinct sites (fractional):
Tl 0.000 0.000 0.000 (multiplicity 1)
Tl 0.404 0.500 0.722 (multiplicity 1)
Ag 0.724 0.500 0.263 (multiplicity 1)
Os 0.385 0.000 0.503 (multiplicity 1)

Summary:
E_form in eV per formula unit: 3.246
Energy relative to the lowest polymorph listed for this composition in eV/atom: 0.165
Calculated volume in Å³ per atom: 20.893

***

Density functional theory data (PBE) for an optimized crystal structure of MnReTcAs.

Lattice parameters (Å, degrees): 6.064 6.064 6.064 90.00 90.00 90.00
Space group F-43m (No. 216)
Symmetry-distinct sites (fractional):
Mn 0.000 0.000 0.000 (multiplicity 4)
Re 0.250 0.250 0.250 (multiplicity 4)
Tc 0.250 0.250 0.750 (multiplicity 4)
As 0.000 0.000 0.500 (multiplicity 4)

Summary:
E_form in eV per formula unit: 0.152
Calculated volume in Å³ per atom: 13.936

***

Density functional theory data (PBE) for an optimized crystal structure of Hf2NpPb.

Lattice parameters (Å, degrees): 4.674 4.674 4.236 90.00 90.00 90.00
Space group P4/mmm (No. 123)
Symmetry-distinct sites (fractional):
Hf 0.000 0.500 0.000 (multiplicity 2)
Np 0.000 0.000 0.500 (multiplicity 1)
Pb 0.500 0.500 0.500 (multiplicity 1)

Summary:
E_form in eV per formula unit: 0.792
Energy relative to the lowest polymorph listed for this composition in eV/atom: 0.000
Calculated volume in Å³ per atom: 23.133

***

Density functional theory data (PBE) for an optimized crystal structure of Ta2Ag2Te6Pd.

Lattice parameters (Å, degrees): 6.559 11.929 7.838 90.00 104.39 90.00
Space group C2/m (No. 12)
Symmetry-distinct sites (fractional):
Ta 0.000 0.124 0.000 (multiplicity 4)
Ag 0.000 0.300 0.500 (multiplicity 4)
Te 0.221 0.316 0.203 (multiplicity 8)
Te 0.233 0.500 0.742 (multiplicity 4)
Pd 0.000 0.500 0.000 (multiplicity 2)

Summary:
Calculated volume in Å³ per atom: 27.001
ΔE_f (raw) in kcal/mol of atoms: -2.6

***

Density functional theory data (PBE) for an optimized crystal structure of RbCaBe2F8.

Lattice parameters (Å, degrees): 5.2500 5.2500 22.8224 90.00 90.00 120.00
Space group R-3 (No. 148, hexagonal axes)
Symmetry-distinct sites (fractional):
Rb 0.0000 0.0000 0.0000 (multiplicity 3)
Ca 0.0000 0.0000 0.5000 (multiplicity 3)
Be 0.0000 0.0000 0.2461 (multiplicity 6)
F 0.0000 0.0000 0.3147 (multiplicity 6)
F 0.0131 0.7248 0.2254 (multiplicity 18)

Summary:
Calculated volume in Å³ per atom: 15.133
ΔE_f (raw) in kcal/mol of atoms: -70.9

***

Density functional theory data (PBE) for an optimized crystal structure of DyBHRu.

Lattice parameters (Å, degrees): 3.926 3.926 7.150 90.00 90.00 90.00
Space group P4/nmm (No. 129, origin choice 2)
Symmetry-distinct sites (fractional):
Dy 0.250 0.250 0.182 (multiplicity 2)
B 0.250 0.250 0.613 (multiplicity 2)
H 0.250 0.750 0.000 (multiplicity 2)
Ru 0.250 0.750 0.500 (multiplicity 2)

Summary:
Calculated volume in Å³ per atom: 13.779
DFT total energy in eV/cell: -52.2

***

Density functional theory data (PBE) for an optimized crystal structure of NaAgMo2Pb.

Lattice parameters (Å, degrees): 4.990 4.990 4.676 90.00 90.00 90.00
Space group P4/mmm (No. 123)
Symmetry-distinct sites (fractional):
Na 0.000 0.000 0.000 (multiplicity 1)
Ag 0.000 0.000 0.500 (multiplicity 1)
Mo 0.000 0.500 0.000 (multiplicity 2)
Pb 0.500 0.500 0.500 (multiplicity 1)

Summary:
E_form in eV per formula unit: 9.975
Calculated volume in Å³ per atom: 23.291

***

Density functional theory data (PBE) for an optimized crystal structure of Na2Sr6HgRh.

Lattice parameters (Å, degrees): 12.285 12.291 8.668 90.00 134.78 90.00
Space group C2/m (No. 12)
Symmetry-distinct sites (fractional):
Na 0.000 0.250 0.000 (multiplicity 4)
Sr 0.000 0.239 0.500 (multiplicity 4)
Sr 0.238 0.000 0.499 (multiplicity 4)
Sr 0.238 0.000 0.976 (multiplicity 4)
Hg 0.000 0.500 0.500 (multiplicity 2)
Rh 0.000 0.000 0.500 (multiplicity 2)

Summary:
E_form in eV per formula unit: -1.732
Calculated volume in Å³ per atom: 46.450

***

Density functional theory data (PBE) for an optimized crystal structure of Zr2ScBr.

Lattice parameters (Å, degrees): 3.2856 3.2856 29.3460 90.00 90.00 120.00
Space group R-3m (No. 166, hexagonal axes)
Symmetry-distinct sites (fractional):
Zr 0.0000 0.0000 0.2448 (multiplicity 6)
Sc 0.0000 0.0000 0.0000 (multiplicity 3)
Br 0.0000 0.0000 0.5000 (multiplicity 3)

Summary:
Calculated volume in Å³ per atom: 22.863
ΔE_f (raw) in kcal/mol of atoms: -4.7

***

Density functional theory data (PBE) for an optimized crystal structure of La6Ti3Se9O5.

Lattice parameters (Å, degrees): 44.593 3.939 11.181 90.00 96.57 90.00
Space group C2/m (No. 12)
Symmetry-distinct sites (fractional):
La 0.038 0.000 0.246 (multiplicity 4)
La 0.041 0.500 0.754 (multiplicity 4)
La 0.113 0.500 0.518 (multiplicity 4)
La 0.138 0.000 0.155 (multiplicity 4)
La 0.211 0.500 0.509 (multiplicity 4)
La 0.211 0.500 0.958 (multiplicity 4)
Ti 0.000 0.000 0.500 (multiplicity 2)
Ti 0.000 0.500 0.000 (multiplicity 2)
Ti 0.142 0.000 0.847 (multiplicity 4)
Ti 0.231 0.000 0.241 (multiplicity 4)
Se 0.040 0.500 0.472 (multiplicity 4)
Se 0.041 0.000 0.973 (multiplicity 4)
Se 0.091 0.000 0.690 (multiplicity 4)
Se 0.093 0.500 0.251 (multiplicity 4)
Se 0.114 0.500 0.954 (multiplicity 4)
Se 0.156 0.000 0.441 (multiplicity 4)
Se 0.163 0.500 0.725 (multiplicity 4)
Se 0.190 0.500 0.219 (multiplicity 4)
Se 0.227 0.000 0.735 (multiplicity 4)
O 0.012 0.000 0.671 (multiplicity 4)
O 0.012 0.500 0.171 (multiplicity 4)
O 0.173 0.000 0.967 (multiplicity 4)
O 0.233 0.000 0.417 (multiplicity 4)
O 0.235 0.000 0.072 (multiplicity 4)

Summary:
Calculated volume in Å³ per atom: 21.208
ΔE_f (raw) in kcal/mol of atoms: -54.4

***

Density functional theory data (PBE) for an optimized crystal structure of DyTmHf2N4.

Lattice parameters (Å, degrees): 4.690 4.690 9.328 90.00 90.00 90.00
Space group I-4m2 (No. 119)
Symmetry-distinct sites (fractional):
Dy 0.000 0.000 0.000 (multiplicity 2)
Tm 0.000 0.500 0.250 (multiplicity 2)
Hf 0.000 0.000 0.500 (multiplicity 2)
Hf 0.000 0.500 0.750 (multiplicity 2)
N 0.000 0.000 0.259 (multiplicity 4)
N 0.000 0.500 0.507 (multiplicity 4)

Summary:
Calculated volume in Å³ per atom: 12.822
ΔE_f (raw) in kcal/mol of atoms: -40.8

***

Density functional theory data (PBE) for an optimized crystal structure of YReAs2I.

Lattice parameters (Å, degrees): 4.789 4.789 5.645 90.00 90.00 90.00
Space group P4/mmm (No. 123)
Symmetry-distinct sites (fractional):
Y 0.000 0.000 0.000 (multiplicity 1)
Re 0.500 0.500 0.500 (multiplicity 1)
As 0.000 0.500 0.500 (multiplicity 2)
I 0.500 0.500 0.000 (multiplicity 1)

Summary:
Calculated volume in Å³ per atom: 25.887
ΔE_f (raw) in kcal/mol of atoms: 5.6

***

Density functional theory data (PBE) for an optimized crystal structure of CsAl2Rh.

Lattice parameters (Å, degrees): 6.824 6.824 12.527 90.00 90.00 90.00
Space group I4_1/amd (No. 141, origin choice 2)
Symmetry-distinct sites (fractional):
Cs 0.000 0.250 0.375 (multiplicity 4)
Al 0.000 0.000 0.000 (multiplicity 8)
Rh 0.000 0.250 0.875 (multiplicity 4)

Summary:
E_form in eV per formula unit: -0.419
Energy relative to the lowest polymorph listed for this composition in eV/atom: 0.000
Calculated volume in Å³ per atom: 36.453

***

Density functional theory data (PBE) for an optimized crystal structure of Pb5Cl.

Lattice parameters (Å, degrees): 3.617 3.617 13.874 90.00 90.00 90.00
Space group P4/mmm (No. 123)
Symmetry-distinct sites (fractional):
Pb 0.000 0.000 0.000 (multiplicity 1)
Pb 0.000 0.000 0.345 (multiplicity 2)
Pb 0.500 0.500 0.176 (multiplicity 2)
Cl 0.500 0.500 0.500 (multiplicity 1)

Summary:
Energy relative to the lowest polymorph listed for this composition in eV/atom: 0.000
Calculated volume in Å³ per atom: 30.251
ΔE_f (raw) in kcal/mol of atoms: -4.0

***

Density functional theory data (PBE) for an optimized crystal structure of AcFeH.

Lattice parameters (Å, degrees): 8.755 5.702 5.845 90.00 90.00 90.00
Space group Amm2 (No. 38)
Symmetry-distinct sites (fractional):
Ac 0.234 0.000 0.000 (multiplicity 4)
Fe 0.127 0.000 0.492 (multiplicity 4)
H 0.000 0.000 0.272 (multiplicity 2)
H 0.500 0.000 0.034 (multiplicity 2)

Summary:
Calculated volume in Å³ per atom: 24.316
DFT total energy in eV/cell: -59.0

***

Density functional theory data (PBE) for an optimized crystal structure of La5TbNd2Mg.

Lattice parameters (Å, degrees): 5.663 20.276 11.092 90.00 90.00 90.00
Space group Cmc2_1 (No. 36)
Symmetry-distinct sites (fractional):
La 0.000 0.000 0.000 (multiplicity 4)
La 0.000 0.122 0.251 (multiplicity 4)
La 0.000 0.212 0.952 (multiplicity 4)
La 0.000 0.214 0.552 (multiplicity 4)
La 0.000 0.488 0.251 (multiplicity 4)
Tb 0.000 0.307 0.252 (multiplicity 4)
Nd 0.000 0.383 0.963 (multiplicity 4)
Nd 0.000 0.385 0.540 (multiplicity 4)
Mg 0.000 0.095 0.749 (multiplicity 4)

Summary:
E_form in eV per formula unit: 0.684
Calculated volume in Å³ per atom: 35.378

***

Density functional theory data (PBE) for an optimized crystal structure of Sc3TcCl.

Lattice parameters (Å, degrees): 4.679 4.679 4.679 90.00 90.00 90.00
Space group Pm-3m (No. 221)
Symmetry-distinct sites (fractional):
Sc 0.000 0.000 0.500 (multiplicity 3)
Tc 0.500 0.500 0.500 (multiplicity 1)
Cl 0.000 0.000 0.000 (multiplicity 1)

Summary:
Energy relative to the lowest polymorph listed for this composition in eV/atom: 0.000
Calculated volume in Å³ per atom: 20.483
ΔE_f (raw) in kcal/mol of atoms: 0.0

***

Density functional theory data (PBE) for an optimized crystal structure of LaGdNi2.

Lattice parameters (Å, degrees): 6.962 6.962 6.962 90.00 90.00 90.00
Space group Fm-3m (No. 225)
Symmetry-distinct sites (fractional):
La 0.000 0.000 0.000 (multiplicity 4)
Gd 0.000 0.000 0.500 (multiplicity 4)
Ni 0.250 0.250 0.250 (multiplicity 8)

Summary:
E_form in eV per formula unit: -1.100
Energy relative to the lowest polymorph listed for this composition in eV/atom: 0.007
Calculated volume in Å³ per atom: 21.091

***

Density functional theory data (PBE) for an optimized crystal structure of TiIn2Cl8.

Lattice parameters (Å, degrees): 15.494 6.781 6.728 90.00 93.27 90.00
Space group C2/m (No. 12)
Symmetry-distinct sites (fractional):
Ti 0.000 0.000 0.000 (multiplicity 2)
In 0.146 0.000 0.468 (multiplicity 4)
Cl 0.054 0.239 0.233 (multiplicity 8)
Cl 0.139 0.000 0.853 (multiplicity 4)
Cl 0.201 0.500 0.596 (multiplicity 4)

Summary:
Calculated volume in Å³ per atom: 32.078
ΔE_f (raw) in kcal/mol of atoms: -26.5

***

Density functional theory data (PBE) for an optimized crystal structure of LaAs3H.

Lattice parameters (Å, degrees): 5.783 5.783 5.783 90.00 90.00 90.00
Space group Pm-3m (No. 221)
Symmetry-distinct sites (fractional):
La 0.000 0.000 0.000 (multiplicity 1)
As 0.000 0.000 0.500 (multiplicity 3)
H 0.500 0.500 0.500 (multiplicity 1)

Summary:
Energy relative to the lowest polymorph listed for this composition in eV/atom: 1.342
Calculated volume in Å³ per atom: 38.684